No. 1
MnSiBr3: optimized geometry, GGA-PBE. Values from VASP.

Cell and atoms, written as Quantum ESPRESSO input:
```
&SYSTEM
  ibrav = 0, nat = 5, ntyp = 3
/
ATOMIC_SPECIES
Mn 54.94 Mn.upf
Si 28.09 Si.upf
Br 79.90 Br.upf
ATOMIC_POSITIONS crystal
Mn 0.0000 0.0000 0.0000
Si 0.5000 0.5000 0.5000
Br 0.0000 0.0000 0.5000
Br 0.0000 0.5000 0.0000
Br 0.5000 0.0000 0.0000
CELL_PARAMETERS angstrom
5.2203 0.0000 0.0000
0.0000 5.2203 0.0000
0.0000 0.0000 5.2203
```

## Properties
Space-group type   No. 221
ΔE_f (raw)   0.13 eV/atom
ΔE to the lowest computed polymorph   0 meV per atom

---

No. 2
PrTlCuSe2: optimized geometry, GGA-PBE. Values from VASP.

Cell and atoms, written as Quantum ESPRESSO input:
```
&SYSTEM
  ibrav = 0, nat = 10, ntyp = 4
/
ATOMIC_SPECIES
Pr 140.91 Pr.upf
Tl 204.38 Tl.upf
Cu 63.55 Cu.upf
Se 78.96 Se.upf
ATOMIC_POSITIONS crystal
Pr 0.0000 0.0079 0.2500
Pr 0.0000 0.9921 0.7500
Tl 0.5000 0.3052 0.2500
Tl 0.5000 0.6948 0.7500
Cu 0.0000 0.5000 0.0000
Cu 0.0000 0.5000 0.5000
Se 0.2623 0.2173 0.5556
Se 0.2623 0.7827 0.0556
Se 0.7377 0.2173 0.9444
Se 0.7377 0.7827 0.4444
CELL_PARAMETERS angstrom
6.5596 0.0000 0.0000
0.0000 5.6457 0.0000
-2.1331 0.0000 8.0760
```

## Properties
Space-group type   No. 13
ΔE_f (raw)   -0.72 eV/atom

---

No. 3
YGe2Te4: optimized geometry, GGA-PBE. Values from VASP.

Cell and atoms, written as Quantum ESPRESSO input:
```
&SYSTEM
  ibrav = 0, nat = 14, ntyp = 3
/
ATOMIC_SPECIES
Y 88.91 Y.upf
Ge 72.64 Ge.upf
Te 127.60 Te.upf
ATOMIC_POSITIONS crystal
Y 0.1023 0.8977 0.7500
Y 0.8977 0.1023 0.2500
Ge 0.3669 0.6331 0.5594
Ge 0.3669 0.6331 0.9406
Ge 0.6331 0.3669 0.0594
Ge 0.6331 0.3669 0.4406
Te 0.0000 0.0000 0.0000
Te 0.0000 0.0000 0.5000
Te 0.2769 0.7231 0.1273
Te 0.2769 0.7231 0.3727
Te 0.4455 0.5545 0.7500
Te 0.5545 0.4455 0.2500
Te 0.7231 0.2769 0.6273
Te 0.7231 0.2769 0.8727
CELL_PARAMETERS angstrom
2.1126 -7.0096 0.0000
2.1126 7.0096 0.0000
0.0000 0.0000 13.8334
```

## Properties
Space-group type   No. 63
ΔE_f (raw)   -0.48 eV/atom

---

No. 4
AcPm3DyEr: optimized geometry, GGA-PBE. Values from VASP.

Cell and atoms, written as Quantum ESPRESSO input:
```
&SYSTEM
  ibrav = 0, nat = 12, ntyp = 4
/
ATOMIC_SPECIES
Ac 227.00 Ac.upf
Pm 145.00 Pm.upf
Dy 162.50 Dy.upf
Er 167.26 Er.upf
ATOMIC_POSITIONS crystal
Ac 0.1708 0.2500 0.2927
Ac 0.8292 0.7500 0.7073
Pm 0.1734 0.7500 0.0397
Pm 0.1726 0.7500 0.5473
Pm 0.1739 0.2500 0.7935
Pm 0.8261 0.7500 0.2065
Pm 0.8274 0.2500 0.4527
Pm 0.8266 0.2500 0.9603
Dy 0.4962 0.7500 0.8768
Dy 0.5038 0.2500 0.1232
Er 0.4972 0.2500 0.6281
Er 0.5028 0.7500 0.3719
CELL_PARAMETERS angstrom
8.1908 0.0000 0.0000
0.0000 5.1977 0.0000
-3.3191 0.0000 9.8327
```

## Properties
E_form   0.042 eV/atom
Space-group type   No. 11

---

No. 5
ScSi2Mo: optimized geometry, GGA-PBE. Values from VASP.

Cell and atoms, written as Quantum ESPRESSO input:
```
&SYSTEM
  ibrav = 0, nat = 4, ntyp = 3
/
ATOMIC_SPECIES
Sc 44.96 Sc.upf
Si 28.09 Si.upf
Mo 95.94 Mo.upf
ATOMIC_POSITIONS crystal
Sc 0.0000 0.0000 0.0000
Si 0.0000 0.5000 0.5000
Si 0.5000 0.0000 0.5000
Mo 0.5000 0.5000 0.0000
CELL_PARAMETERS angstrom
2.7549 -3.4930 0.0000
2.7549 3.4930 0.0000
0.0000 0.0000 3.2468
```

## Properties
Space-group type   No. 65
ΔE_f (raw)   -0.22 eV/atom
ΔE to the lowest computed polymorph   321 meV per atom

---

No. 6
BiBPS2: optimized geometry, GGA-PBE. Values from VASP.

Cell and atoms, written as Quantum ESPRESSO input:
```
&SYSTEM
  ibrav = 0, nat = 5, ntyp = 4
/
ATOMIC_SPECIES
Bi 208.98 Bi.upf
B 10.81 B.upf
P 30.97 P.upf
S 32.06 S.upf
ATOMIC_POSITIONS crystal
Bi 0.0000 0.0000 0.0000
B 0.5000 0.5000 0.5000
P 0.0000 0.0000 0.5000
S 0.0000 0.5000 0.0000
S 0.5000 0.0000 0.0000
CELL_PARAMETERS angstrom
5.2721 0.0000 0.0000
0.0000 5.2721 0.0000
0.0000 0.0000 5.3721
```

## Properties
Space-group type   No. 123
ΔE_f (raw)   1.74 eV/atom
ΔE to the lowest computed polymorph   1200 meV per atom

---

No. 7
FeReB2: optimized geometry, GGA-PBE. Values from VASP.

Cell and atoms, written as Quantum ESPRESSO input:
```
&SYSTEM
  ibrav = 0, nat = 4, ntyp = 3
/
ATOMIC_SPECIES
Fe 55.84 Fe.upf
Re 186.21 Re.upf
B 10.81 B.upf
ATOMIC_POSITIONS crystal
Fe 0.0000 0.0000 0.0000
Re 0.5000 0.5000 0.5000
B 0.2500 0.2500 0.2500
B 0.7500 0.7500 0.7500
CELL_PARAMETERS angstrom
0.0000 2.6401 2.6401
2.6401 0.0000 2.6401
2.6401 2.6401 0.0000
```

## Properties
E_form   0.215 eV/atom
Space-group type   No. 225
ΔE to the lowest computed polymorph   291 meV per atom

---

No. 8
Ho6MgCo: optimized geometry, GGA-PBE. Values from VASP.

Cell and atoms, written as Quantum ESPRESSO input:
```
&SYSTEM
  ibrav = 0, nat = 8, ntyp = 3
/
ATOMIC_SPECIES
Ho 164.93 Ho.upf
Mg 24.30 Mg.upf
Co 58.93 Co.upf
ATOMIC_POSITIONS crystal
Ho 0.0643 0.0862 0.2598
Ho 0.2815 0.6953 0.2589
Ho 0.3241 0.5212 0.7407
Ho 0.6759 0.4788 0.2593
Ho 0.7185 0.3047 0.7411
Ho 0.9357 0.9138 0.7402
Mg 0.5000 0.0000 0.0000
Co 0.5000 0.5000 0.5000
CELL_PARAMETERS angstrom
6.7894 0.0000 0.0000
-3.3902 5.9077 0.0000
-3.3697 -1.9602 6.1123
```

## Properties
E_form   0.156 eV/atom
Space-group type   No. 2

---

No. 9
Ho4Cd5Pd2: optimized geometry, GGA-PBE. Values from VASP.

Cell and atoms, written as Quantum ESPRESSO input:
```
&SYSTEM
  ibrav = 0, nat = 11, ntyp = 3
/
ATOMIC_SPECIES
Ho 164.93 Ho.upf
Cd 112.41 Cd.upf
Pd 106.42 Pd.upf
ATOMIC_POSITIONS crystal
Ho 0.1675 0.0000 0.3572
Ho 0.2310 0.0000 0.9461
Ho 0.7690 0.0000 0.0539
Ho 0.8325 0.0000 0.6428
Cd 0.1877 0.5000 0.6510
Cd 0.4515 0.5000 0.1839
Cd 0.5000 0.5000 0.5000
Cd 0.5485 0.5000 0.8161
Cd 0.8123 0.5000 0.3490
Pd 0.0676 0.5000 0.1391
Pd 0.9324 0.5000 0.8609
CELL_PARAMETERS angstrom
7.6583 0.0000 0.0000
0.0000 3.5565 0.0000
-0.6482 0.0000 9.7189
```

## Properties
E_form   -0.504 eV/atom
Space-group type   No. 10

---

No. 10
ThTaRe: optimized geometry, GGA-PBE. Values from VASP.

Cell and atoms, written as Quantum ESPRESSO input:
```
&SYSTEM
  ibrav = 0, nat = 12, ntyp = 3
/
ATOMIC_SPECIES
Th 232.04 Th.upf
Ta 180.95 Ta.upf
Re 186.21 Re.upf
ATOMIC_POSITIONS crystal
Th 0.0440 0.7060 0.0440
Th 0.2940 0.9560 0.2940
Th 0.7060 0.0440 0.7060
Th 0.9560 0.2940 0.9560
Ta 0.2932 0.2932 0.4568
Ta 0.4568 0.4568 0.2932
Ta 0.5432 0.5432 0.7068
Ta 0.7068 0.7068 0.5432
Re 0.0004 0.0004 0.2496
Re 0.9996 0.9996 0.7504
Re 0.2496 0.2496 0.0004
Re 0.7504 0.7504 0.9996
CELL_PARAMETERS angstrom
0.0000 4.8517 9.8489
2.7090 0.0000 9.8489
2.7090 4.8517 0.0000
```

## Properties
E_form   0.178 eV/atom
Space-group type   No. 70

---

No. 11
HgPtI2O: optimized geometry, GGA-PBE. Values from VASP.

Cell and atoms, written as Quantum ESPRESSO input:
```
&SYSTEM
  ibrav = 0, nat = 5, ntyp = 4
/
ATOMIC_SPECIES
Hg 200.59 Hg.upf
Pt 195.08 Pt.upf
I 126.90 I.upf
O 16.00 O.upf
ATOMIC_POSITIONS crystal
Hg 0.0000 0.0000 0.0000
Pt 0.5000 0.5000 0.5000
I 0.0000 0.5000 0.5000
I 0.5000 0.0000 0.5000
O 0.5000 0.5000 0.0000
CELL_PARAMETERS angstrom
5.7537 0.0000 0.0000
0.0000 5.7537 0.0000
0.0000 0.0000 3.8593
```

## Properties
Space-group type   No. 123
ΔE_f (raw)   0.01 eV/atom
ΔE to the lowest computed polymorph   0 meV per atom